No. 1
Na3MnO3 | meta-GGA SCAN | single point on PBEsol structure

Cell: 5.5698 5.6815 6.6204 Å, 68.51 88.97 89.82°
With the nearest neighbours (Å) after each atom.
Fractional coordinates of all 14 atoms:
Na 0.0415 0.2492 0.2915  4 O 2.25-2.39
Na 0.3820 0.7636 0.4557  3 O 2.25-2.35
Na 0.4441 0.7671 0.9311  5 O 2.34-2.55
Na 0.5559 0.2329 0.0689  5 O 2.34-2.55
Na 0.6180 0.2364 0.5443  3 O 2.25-2.35
Na 0.9585 0.7508 0.7085  4 O 2.25-2.39
Mn 0.1209 0.1869 0.8219  4 O 1.81-1.98
Mn 0.8791 0.8131 0.1781  4 O 1.81-1.98
O 0.1871 0.9814 0.1290  2 Mn 1.93-1.98
O 0.2382 0.0920 0.6064  1 Mn 1.81
O 0.2916 0.4686 0.7993  1 Mn 1.82
O 0.7084 0.5314 0.2007  1 Mn 1.82
O 0.7618 0.9080 0.3936  1 Mn 1.81
O 0.8129 0.0186 0.8710  2 Mn 1.93-1.98

**Raw formation energy**: -1755 meV per atom
**SG**: No. 2
**Uncorrected energy**: -8.8402 eV/atom


No. 2
Ag2SbSe | meta-GGA SCAN | single point on PBEsol structure

Cell: 10.1220 10.1220 10.1220 Å, 17.54 17.54 17.54°
With the nearest neighbours (Å) after each atom.
Fractional coordinates of all 4 atoms:
Ag 0.0000 0.0000 0.0000  9 Ag 2.84-3.09, 3 Sb 2.97
Ag 0.2595 0.2595 0.2595  3 Se 2.77, 9 Ag 2.84-3.09
Sb 0.7463 0.7463 0.7463  3 Ag 2.97, 6 Sb 3.09
Se 0.5218 0.5218 0.5218  3 Ag 2.77, 6 Se 3.09

**Raw formation energy**: 225 meV per atom
**SG**: No. 160
**Uncorrected energy**: -29.7929 eV/atom


No. 3
CoTeI2 | meta-GGA SCAN | single point on PBEsol structure

Cell: 6.8123 6.8123 6.8123 Å, 116.28 116.28 96.57°
With the nearest neighbours (Å) after each atom.
Fractional coordinates of all 8 atoms:
Co 0.0000 0.0000 0.0000  4 I 2.44
Co 0.7500 0.2500 0.5000  4 I 2.44
Te 0.2500 0.7500 0.5000  4 I 3.20
Te 0.5000 0.5000 0.0000  4 I 3.20
I 0.0416 0.6250 0.9166  2 Co 2.44
I 0.3750 0.2916 0.4166  2 Co 2.44
I 0.7084 0.1250 0.0834  2 Co 2.44
I 0.8750 0.9584 0.5834  2 Co 2.44

**Raw formation energy**: 503 meV per atom
**SG**: No. 122
**Uncorrected energy**: -31.5062 eV/atom